# KTl4Pd4, relaxed, DFT GGA-PBE
data_KTl4Pd4
_space_group_name_H-M_alt 'P 42/n m c'
_space_group_IT_number 137
_cell_length_a 6.7694
_cell_length_b 6.7694
_cell_length_c 9.5001
_cell_angle_alpha 90.00
_cell_angle_beta 90.00
_cell_angle_gamma 90.00
loop_
_space_group_symop_operation_xyz
'x,y,z'
'-x,-y,-z'
'-y+1/2,x,z+1/2'
'y+1/2,-x,-z+1/2'
'-x+1/2,-y+1/2,z'
'x+1/2,y+1/2,-z'
'y,-x+1/2,z+1/2'
'-y,x+1/2,-z+1/2'
'x+1/2,-y,-z'
'-x+1/2,y,z'
'-y,-x,-z+1/2'
'y,x,z+1/2'
'-x,y+1/2,-z'
'x,-y+1/2,z'
'y+1/2,x+1/2,-z+1/2'
'-y+1/2,-x+1/2,z+1/2'
loop_
_atom_site_label
_atom_site_type_symbol
_atom_site_fract_x
_atom_site_fract_y
_atom_site_fract_z
_atom_site_occupancy
K1 K 0.2500 0.7500 0.2500 1
Tl1 Tl 0.0207 0.2500 0.0679 1
Pd1 Pd 0.0441 0.2500 0.3600 1
# formation energy	-124	meV/atom


# PuSnH2O6, relaxed, DFT GGA-PBE
data_PuSnH2O6
_space_group_name_H-M_alt 'P -1'
_space_group_IT_number 2
_cell_length_a 5.0646
_cell_length_b 5.1574
_cell_length_c 5.6674
_cell_angle_alpha 63.40
_cell_angle_beta 68.30
_cell_angle_gamma 65.44
loop_
_space_group_symop_operation_xyz
'x,y,z'
'-x,-y,-z'
loop_
_atom_site_label
_atom_site_type_symbol
_atom_site_fract_x
_atom_site_fract_y
_atom_site_fract_z
_atom_site_occupancy
Pu1 Pu 0.0000 0.0000 0.0000 1
Sn1 Sn 0.5000 0.5000 0.5000 1
H1 H 0.4020 0.2084 0.2745 1
O1 O 0.1189 0.3659 0.7576 1
O2 O 0.2539 0.8960 0.2503 1
O3 O 0.4212 0.7436 0.7429 1
# energy	-7.194	eV per atom


# HgTe2RuN, relaxed, DFT GGA-PBE
data_HgTe2RuN
_space_group_name_H-M_alt 'P 4/m m m'
_space_group_IT_number 123
_space_group_name_Hall '-P 4 2'
_cell_length_a 5.5678
_cell_length_b 5.5678
_cell_length_c 3.6518
_cell_angle_alpha 90.00
_cell_angle_beta 90.00
_cell_angle_gamma 90.00
loop_
_atom_site_label
_atom_site_type_symbol
_atom_site_fract_x
_atom_site_fract_y
_atom_site_fract_z
_atom_site_occupancy
Hg1 Hg 0.0000 0.0000 0.0000 1
Te1 Te 0.0000 0.5000 0.5000 1
Ru1 Ru 0.5000 0.5000 0.5000 1
N1 N 0.5000 0.5000 0.0000 1
# formation energy without anion corrections	0.30	eV per atom


# Ca3Ga2H2Au4, relaxed, DFT GGA-PBE
data_Ca3Ga2H2Au4
_space_group_name_H-M_alt 'I 4/m m m'
_space_group_IT_number 139
_space_group_name_Hall '-I 4 2'
_cell_length_a 4.8981
_cell_length_b 4.8981
_cell_length_c 20.5740
_cell_angle_alpha 90.00
_cell_angle_beta 90.00
_cell_angle_gamma 90.00
loop_
_atom_site_label
_atom_site_type_symbol
_atom_site_fract_x
_atom_site_fract_y
_atom_site_fract_z
_atom_site_occupancy
Ca1 Ca 0.0000 0.0000 0.0000 1
Ca2 Ca 0.0000 0.0000 0.1789 1
Ga1 Ga 0.0000 0.0000 0.3711 1
H1 H 0.0000 0.0000 0.2866 1
Au1 Au 0.0000 0.5000 0.0916 1
# energy	-3.265	eV per atom